VASP calculation (PBE) on crystalline SrSc4In3O12 at its relaxed geometry.

abc: 7.994 7.994 7.994
angles: 90.00 90.00 90.00
Space group Im-3 (No. 204)
Symmetry-distinct sites (fractional):
Sr  0.000  0.000  0.000 [2 per cell]
Sc  0.250  0.250  0.250 [8 per cell]
In  0.000  0.000  0.500 [6 per cell]
O  0.000  0.306  0.182 [24 per cell]

Summary:
**Total energy**: -7.271 eV/atom
**Formation energy without anion corrections**: -2535 meV per atom
**Crystal system**: cubic